#a
# CoPbSeO

A relaxed CoPbSeO crystal (GGA+U, OQMD).

Values from the calculation:
- space group = No. 19

Lattice parameters (Å, degrees): 6.5600 6.9139 7.1212 90.00 90.00 90.00
Fractional coordinates of all 16 atoms:
Se 0.8889 0.6075 0.8968
O 0.9136 0.0996 0.0441
Co 0.0747 0.9248 0.9063
Pb 0.8770 0.8580 0.3510
Se 0.1111 0.1075 0.6032
O 0.4136 0.4004 0.9559
O 0.5864 0.9004 0.5441
Se 0.6111 0.3925 0.3968
Co 0.5747 0.5752 0.0937
Se 0.3889 0.8925 0.1032
Co 0.9253 0.4248 0.5937
Pb 0.6230 0.1420 0.8510
Pb 0.1230 0.3580 0.1490
Co 0.4253 0.0752 0.4063
Pb 0.3770 0.6420 0.6491
O 0.0864 0.5996 0.4559


#b
# CoPbSeO

A relaxed CoPbSeO crystal (GGA+U, OQMD).

Values from the calculation:
- space group = No. 62

Lattice parameters (Å, degrees): 3.2842 7.4607 13.1266 90.00 90.00 90.00
Fractional coordinates of all 16 atoms:
Pb 0.7500 0.4586 0.7789
O 0.7500 0.2305 0.6284
Pb 0.2500 0.0414 0.2789
Se 0.2500 0.1500 0.9047
Pb 0.2500 0.5414 0.2211
O 0.7500 0.7305 0.8716
O 0.2500 0.7695 0.3716
Se 0.7500 0.8500 0.0953
Co 0.2500 0.3092 0.5567
Co 0.2500 0.8092 0.9433
Pb 0.7500 0.9586 0.7211
Co 0.7500 0.6908 0.4433
Co 0.7500 0.1908 0.0567
Se 0.7500 0.3500 0.4047
Se 0.2500 0.6500 0.5953
O 0.2500 0.2695 0.1284


Out of the structures above, which one is the least stable? Solution: #b.